(1)
Below is a crystal of EuGe2Ru2 relaxed with PBEsol, with properties calculated at the SCAN level.

Properties
DFT total energy = -32.97 eV per atom
energy of formation = -0.66 eV/atom
space group = No. 139

Unit cell a=4.2252 b=4.2252 c=5.8447 alpha=111.19 beta=111.19 gamma=90.00
Each line ends with the local moment (μB).
Fractional coordinates of all 5 atoms:
Eu: 0.0000 0.0000 0.0000  6.78
Ge: 0.3676 0.3676 0.7352  0.00
Ge: 0.6324 0.6324 0.2648  0.00
Ru: 0.7500 0.2500 0.5000  -0.04
Ru: 0.2500 0.7500 0.5000  -0.04

(2)
Below is a crystal of Eu2ZnGe3 relaxed with PBEsol, with properties calculated at the SCAN level.

Properties
DFT total energy = -30.33 eV per atom
energy of formation = -0.63 eV/atom
space group = No. 69

Unit cell a=5.9922 b=5.9922 c=8.3869 alpha=110.58 beta=110.58 gamma=90.92
Each line ends with the local moment (μB).
Fractional coordinates of all 12 atoms:
Eu: 0.2410 0.7590 0.0000  6.86
Eu: 0.7590 0.2410 0.0000  6.86
Eu: 0.2500 0.7500 0.5000  6.87
Eu: 0.7500 0.2500 0.5000  6.87
Zn: 0.3339 0.3339 0.6677  0.04
Zn: 0.6661 0.6661 0.3323  0.04
Ge: 0.1689 0.1689 0.3378  -0.04
Ge: 0.8311 0.8311 0.6622  -0.04
Ge: 0.8288 0.8288 0.1688  -0.02
Ge: 0.6600 0.6600 0.8312  -0.02
Ge: 0.3399 0.3399 0.1688  -0.02
Ge: 0.1712 0.1712 0.8312  -0.02